(1)
# Tb6N5F (PBE, optimized geometry)
# Crystal system: monoclinic
# Energy (eV for the cell shown): -187.32
# Density of states at the Fermi level (states/eV/atom): 0.189
# ΔE_f (raw) (eV per atom): -1.865
data_Tb6N5F
_chemical_formula_sum 'Tb12 N10 F2'
_space_group_name_H-M_alt 'C 1 2/m 1'
_space_group_IT_number 12
_space_group_name_Hall '-C 2y'
_cell_length_a 6.0733
_cell_length_b 10.5081
_cell_length_c 6.0584
_cell_angle_alpha 90.00
_cell_angle_beta 109.67
_cell_angle_gamma 90.00
loop_
_atom_site_label
_atom_site_fract_x
_atom_site_fract_y
_atom_site_fract_z
Tb1 0.2361 0.0000 0.2638
Tb2 0.2391 0.1756 0.7440
N1 0.0000 0.0000 0.5000
N2 0.0000 0.1667 0.0000
N3 0.0000 0.3324 0.5000
F1 0.0000 0.5000 0.0000

---

(2)
# SeS2BrCl (PBE, optimized geometry)
# Crystal system: tetragonal
# Polymorph energy (0 for the lowest one) (eV per formula unit): 0.00
# Energy (eV for the cell shown): -12.05
# Density of states at the Fermi level (states/eV/atom): 1.001
# ΔE_f (raw) (eV per atom): 0.643
data_SeS2BrCl
_chemical_formula_sum 'Se1 S2 Br1 Cl1'
_space_group_name_H-M_alt 'P 4/m m m'
_space_group_IT_number 123
_space_group_name_Hall '-P 4 2'
_cell_length_a 4.9641
_cell_length_b 4.9641
_cell_length_c 4.8916
_cell_angle_alpha 90.00
_cell_angle_beta 90.00
_cell_angle_gamma 90.00
loop_
_atom_site_label
_atom_site_fract_x
_atom_site_fract_y
_atom_site_fract_z
Se1 0.0000 0.0000 0.0000
S1 0.0000 0.5000 0.0000
Br1 0.5000 0.5000 0.5000
Cl1 0.0000 0.0000 0.5000

---

(3)
# LiBiTe2I (PBE, optimized geometry)
# Crystal system: tetragonal
# Polymorph energy (0 for the lowest one) (eV per formula unit): 0.00
# Energy (eV for the cell shown): -13.51
# Density of states at the Fermi level (states/eV/atom): 1.135
# ΔE_f (raw) (eV per atom): 0.024
data_LiBiTe2I
_chemical_formula_sum 'Li1 Bi1 Te2 I1'
_space_group_name_H-M_alt 'P 4/m m m'
_space_group_IT_number 123
_space_group_name_Hall '-P 4 2'
_cell_length_a 5.9541
_cell_length_b 5.9541
_cell_length_c 6.2651
_cell_angle_alpha 90.00
_cell_angle_beta 90.00
_cell_angle_gamma 90.00
loop_
_atom_site_label
_atom_site_fract_x
_atom_site_fract_y
_atom_site_fract_z
Li1 0.0000 0.0000 0.0000
Bi1 0.5000 0.5000 0.5000
Te1 0.0000 0.5000 0.5000
I1 0.5000 0.5000 0.0000